[1]
The following is a PBE calculation of a geometry-optimized DyErCu2 structure, from Alexandria via LeMat-Bulk.

abc: 3.4428 3.4428 6.9241
angles: 90.00 90.00 90.00
Element x y z (fractional)
Dy: 0.0000 0.0000 0.0000
Er: 0.0000 0.0000 0.5000
Cu: 0.5000 0.5000 0.2546
Cu: 0.5000 0.5000 0.7454

Properties
- ρ (g cm⁻³) = 9.2
- E_form (meV per atom) = -265

***

[2]
The following is a PBE calculation of a geometry-optimized In2SeCl structure, from Alexandria via LeMat-Bulk.

abc: 4.3181 4.3181 7.5488
angles: 105.76 105.76 60.26
Element x y z (fractional)
In: 0.2389 0.2389 0.2305
In: 0.7611 0.7611 0.7695
Se: 0.5000 0.5000 0.0000
Cl: 0.0000 0.0000 0.5000

Properties
- ρ (g cm⁻³) = 4.9
- formation energy (no corrections) (eV per atom) = -0.5202

***

[3]
The following is a PBE calculation of a geometry-optimized YSn3Cl structure, from Alexandria via LeMat-Bulk.

abc: 5.3071 5.3071 5.3071
angles: 90.00 90.00 90.00
Element x y z (fractional)
Y: 0.0000 0.0000 0.0000
Sn: 0.0000 0.5000 0.5000
Sn: 0.5000 0.0000 0.5000
Sn: 0.5000 0.5000 0.0000
Cl: 0.5000 0.5000 0.5000

Properties
- ρ (g cm⁻³) = 5.3
- formation energy (no corrections) (eV per atom) = 0.0867

***

[4]
The following is a PBE calculation of a geometry-optimized K2ThInS4 structure, from Alexandria via LeMat-Bulk.

abc: 7.3077 4.1816 7.7042
angles: 90.00 108.20 90.00
Element x y z (fractional)
K: 0.0000 0.0000 0.0000
K: 0.5000 0.5000 0.0000
Th: 0.0000 0.5000 0.5000
In: 0.5000 0.0000 0.5000
S: 0.2262 0.0000 0.7067
S: 0.2554 0.5000 0.2987
S: 0.7446 0.5000 0.7013
S: 0.7738 0.0000 0.2933

Properties
- ρ (g cm⁻³) = 4.1
- formation energy (no corrections) (eV per atom) = -1.3374

***

[5]
The following is a PBE calculation of a geometry-optimized GaPd4Au2 structure, from Alexandria via LeMat-Bulk.

abc: 5.5959 6.6565 7.1872
angles: 113.20 102.09 103.23
Element x y z (fractional)
Ga: 0.0000 0.0000 0.0000
Ga: 0.3648 0.5215 0.8321
Pd: 0.0966 0.7036 0.5943
Pd: 0.1957 0.2499 0.4228
Pd: 0.4012 0.3867 0.1375
Pd: 0.4799 0.9469 0.0124
Pd: 0.6009 0.7055 0.6176
Pd: 0.8963 0.3721 0.1484
Pd: 0.9205 0.5836 0.8882
Pd: 0.9924 0.1382 0.7221
Au: 0.3045 0.8093 0.3014
Au: 0.5015 0.1453 0.7384
Au: 0.7022 0.2729 0.4435
Au: 0.8003 0.8107 0.2803

Properties
- ρ (g cm⁻³) = 13.1
- E_form (meV per atom) = -279

***

[6]
The following is a PBE calculation of a geometry-optimized Er3ThRu8 structure, from Alexandria via LeMat-Bulk.

abc: 9.3079 9.3079 9.3079
angles: 33.28 33.28 33.28
Element x y z (fractional)
Er: 0.0000 0.0000 0.0000
Er: 0.1231 0.1231 0.1231
Er: 0.6261 0.6261 0.6261
Th: 0.4998 0.4998 0.4998
Ru: 0.0579 0.5625 0.5625
Ru: 0.0627 0.0627 0.5660
Ru: 0.0627 0.5660 0.0627
Ru: 0.3125 0.3125 0.3125
Ru: 0.5625 0.0579 0.5625
Ru: 0.5625 0.5625 0.0579
Ru: 0.5660 0.0627 0.0627
Ru: 0.8119 0.8119 0.8119

Properties
- ρ (g cm⁻³) = 11.9
- E_form (meV per atom) = -325

***

[7]
The following is a PBE calculation of a geometry-optimized Mg2Si2GeRu5 structure, from Alexandria via LeMat-Bulk.

abc: 9.7577 9.7577 3.1146
angles: 90.00 90.00 90.00
Element x y z (fractional)
Mg: 0.1697 0.3303 0.0000
Mg: 0.3303 0.8303 0.0000
Mg: 0.6697 0.1697 0.0000
Mg: 0.8303 0.6697 0.0000
Si: 0.1304 0.6304 0.0000
Si: 0.3696 0.1304 0.0000
Si: 0.6304 0.8696 0.0000
Si: 0.8696 0.3696 0.0000
Ge: 0.0000 0.0000 0.0000
Ge: 0.5000 0.5000 0.0000
Ru: 0.0000 0.5000 0.5000
Ru: 0.0719 0.8033 0.5000
Ru: 0.1967 0.0719 0.5000
Ru: 0.3033 0.5719 0.5000
Ru: 0.4281 0.3033 0.5000
Ru: 0.5000 0.0000 0.5000
Ru: 0.5719 0.6967 0.5000
Ru: 0.6967 0.4281 0.5000
Ru: 0.8033 0.9281 0.5000
Ru: 0.9281 0.1967 0.5000

Properties
- ρ (g cm⁻³) = 7.6
- formation energy (no corrections) (eV per atom) = -0.3655

***

[8]
The following is a PBE calculation of a geometry-optimized LaScP structure, from Alexandria via LeMat-Bulk.

abc: 4.1571 4.1571 8.1598
angles: 90.00 90.00 90.00
Element x y z (fractional)
La: 0.2500 0.2500 0.1481
La: 0.7500 0.7500 0.8519
Sc: 0.2500 0.7500 0.5000
Sc: 0.7500 0.2500 0.5000
P: 0.2500 0.2500 0.7291
P: 0.7500 0.7500 0.2709

Properties
- ρ (g cm⁻³) = 5.1
- E_form (meV per atom) = -1029

***

Q: Which of these has the lowest ρ?
A: K2ThInS4

***

Q: Which of these has the lowest ρ?
A: K2ThInS4